Record 1
{
  "formula": "Ce2NpTc3",
  "functional": "PBE",
  "state": "optimized geometry",
  "lattice": [[4.353, -2.904, 0.000], [4.353, 2.904, 0.000], [-2.430, 0.000, 4.647]],
  "species": ["Ce", "Ce", "Np", "Tc", "Tc", "Tc"],
  "fractional_positions": [[0.120, 0.120, 0.380], [0.880, 0.880, 0.620], [0.500, 0.500, 0.000], [0.000, 0.500, 0.000], [0.500, 0.000, 0.000], [0.500, 0.500, 0.500]],
  "rho_g_cm3": 11.47,
  "magmom_total_mub_per_fu": 1.06,
  "spacegroup": "No. 12",
  "e_tot_ev_per_cell": -56.6
}



Record 2
{
  "formula": "CeNpTc",
  "functional": "PBE",
  "state": "optimized geometry",
  "lattice": [[-1.702, 1.702, 5.203], [1.702, -1.702, 5.203], [1.702, 1.702, -5.203]],
  "species": ["Ce", "Np", "Tc"],
  "fractional_positions": [[0.000, 0.000, 0.000], [0.332, 0.332, 0.000], [0.682, 0.682, 0.000]],
  "rho_g_cm3": 13.09,
  "magmom_total_mub_per_fu": 3.30,
  "spacegroup": "No. 107",
  "polymorph_energy_mev_per_atom": 0,
  "e_tot_ev_per_cell": -29.0
}



Record 3
{
  "formula": "Ce3Np2Te8",
  "functional": "PBE",
  "state": "optimized geometry",
  "lattice": [[5.350, -7.577, 0.000], [5.350, 7.577, 0.000], [0.000, 0.000, 5.367]],
  "species": ["Ce", "Ce", "Ce", "Np", "Np", "Te", "Te", "Te", "Te", "Te", "Te", "Te", "Te"],
  "fractional_positions": [[0.000, 0.000, 0.000], [0.273, 0.273, 0.500], [0.727, 0.727, 0.500], [0.258, 0.742, 0.000], [0.742, 0.258, 0.000], [0.117, 0.367, 0.000], [0.120, 0.880, 0.500], [0.367, 0.117, 0.000], [0.368, 0.632, 0.500], [0.632, 0.368, 0.500], [0.633, 0.883, 0.000], [0.880, 0.120, 0.500], [0.883, 0.633, 0.000]],
  "rho_g_cm3": 7.31,
  "magmom_total_mub_per_fu": 10.00,
  "formation_energy_uncorrected_ev_per_atom": -0.96,
  "spacegroup": "No. 65",
  "e_tot_ev_per_cell": -81.3
}



Record 4
{
  "formula": "CeNpTe4",
  "functional": "PBE",
  "state": "optimized geometry",
  "lattice": [[5.548, -2.011, 0.000], [5.548, 2.011, 0.000], [-2.923, 0.000, 7.508]],
  "species": ["Ce", "Np", "Te", "Te", "Te", "Te"],
  "fractional_positions": [[0.000, 0.000, 0.000], [0.000, 0.000, 0.500], [0.347, 0.347, 0.177], [0.347, 0.347, 0.670], [0.653, 0.653, 0.330], [0.653, 0.653, 0.823]],
  "rho_g_cm3": 8.80,
  "magmom_total_mub_per_fu": 3.83,
  "formation_energy_uncorrected_ev_per_atom": -0.86,
  "spacegroup": "No. 12",
  "e_tot_ev_per_cell": -36.6
}



Record 5
{
  "formula": "CeNp2Te4",
  "functional": "PBE",
  "state": "optimized geometry",
  "lattice": [[8.355, -2.237, 0.000], [8.355, 2.237, 0.000], [-3.469, 0.000, 6.836]],
  "species": ["Ce", "Np", "Np", "Te", "Te", "Te", "Te"],
  "fractional_positions": [[0.000, 0.000, 0.000], [0.257, 0.257, 0.265], [0.743, 0.743, 0.735], [0.126, 0.126, 0.457], [0.367, 0.367, 0.024], [0.633, 0.633, 0.976], [0.874, 0.874, 0.543]],
  "rho_g_cm3": 7.31,
  "magmom_total_mub_per_fu": 10.01,
  "formation_energy_uncorrected_ev_per_atom": -0.83,
  "spacegroup": "No. 12",
  "e_tot_ev_per_cell": -50.2
}



Record 6
{
  "formula": "CeTh2Np",
  "functional": "PBE",
  "state": "optimized geometry",
  "lattice": [[1.688, 0.975, 11.914], [-1.688, 0.975, 11.914], [0.000, -1.949, 11.914]],
  "species": ["Ce", "Th", "Th", "Np"],
  "fractional_positions": [[0.000, 0.000, 0.000], [0.089, 0.089, 0.089], [0.911, 0.911, 0.911], [0.500, 0.500, 0.500]],
  "rho_g_cm3": 11.88,
  "magmom_total_mub_per_fu": 4.44,
  "spacegroup": "No. 166",
  "e_tot_ev_per_cell": -32.0
}



Repeat the first record exactly.
{
  "formula": "Ce2NpTc3",
  "functional": "PBE",
  "state": "optimized geometry",
  "lattice": [[4.353, -2.904, 0.000], [4.353, 2.904, 0.000], [-2.430, 0.000, 4.647]],
  "species": ["Ce", "Ce", "Np", "Tc", "Tc", "Tc"],
  "fractional_positions": [[0.120, 0.120, 0.380], [0.880, 0.880, 0.620], [0.500, 0.500, 0.000], [0.000, 0.500, 0.000], [0.500, 0.000, 0.000], [0.500, 0.500, 0.500]],
  "rho_g_cm3": 11.47,
  "magmom_total_mub_per_fu": 1.06,
  "spacegroup": "No. 12",
  "e_tot_ev_per_cell": -56.6
}